Run i
## LiTlBr2 (GGA-PBE)

Data for crystalline LiTlBr2 at its relaxed geometry.

Cell lengths 4.3247, 4.3281, 8.3817 Å; angles 75.17, 75.13, 60.09 degrees
Space group P1 (No. 1)
Inequivalent atoms, fractional coordinates:
Li 0.0000 0.0000 0.0000
Tl 0.1498 0.1425 0.5513
Br 0.3693 0.3682 0.8925
Br 0.8944 0.8866 0.3170

Crystal system   triclinic
Calculated density   4.744 g/cm3
Density of states at the Fermi level   0.00 states/eV/cell

=====

Run ii
## LiTlBr2 (GGA-PBE)

Data for crystalline LiTlBr2 at its relaxed geometry.

Cell lengths 4.0732, 4.2804, 7.9586 Å; angles 90.00, 103.88, 90.00 degrees
Space group Pm (No. 6)
Inequivalent atoms, fractional coordinates:
Li 0.0000 0.0000 0.0000
Tl 0.2559 0.5000 0.4772
Br 0.5838 0.0000 0.1792
Br 0.8472 0.0000 0.6837

Crystal system   monoclinic
Calculated density   4.575 g/cm3
Density of states at the Fermi level   0.00 states/eV/cell

=====

Energy above the most stable structure, in meV per atom: run i 0; run ii 21

=====

Run i
## LiTl3Br (GGA-PBE)

Data for crystalline LiTl3Br at its relaxed geometry.

Cell lengths 6.0968, 6.0968, 6.0968 Å; angles 90.00, 90.00, 90.00 degrees
Space group Pm-3m (No. 221)
Inequivalent atoms, fractional coordinates:
Li 0.0000 0.0000 0.0000
Tl 0.0000 0.5000 0.5000
Br 0.5000 0.5000 0.5000

Crystal system   cubic
Calculated density   5.129 g/cm3
Density of states at the Fermi level   2.42 states/eV/cell

=====

Run ii
## LiTl3Br (GGA-PBE)

Data for crystalline LiTl3Br at its relaxed geometry.

Cell lengths 5.3295, 5.3295, 5.3295 Å; angles 90.00, 90.00, 90.00 degrees
Space group Pm-3m (No. 221)
Inequivalent atoms, fractional coordinates:
Li 0.0000 0.0000 0.0000
Tl 0.0000 0.0000 0.5000
Br 0.5000 0.5000 0.5000

Crystal system   cubic
Calculated density   7.679 g/cm3
Density of states at the Fermi level   2.21 states/eV/cell

=====

Energy above the most stable structure, in meV per atom: run i 231; run ii 0

=====

Run i
## LiTlBr (GGA-PBE)

Data for crystalline LiTlBr at its relaxed geometry.

Cell lengths 5.0116, 5.0357, 13.7975 Å; angles 90.00, 90.00, 90.00 degrees
Space group Fmm2 (No. 42)
Inequivalent atoms, fractional coordinates:
Li 0.0000 0.0000 0.0000
Tl 0.0000 0.0000 0.7035
Br 0.0000 0.0000 0.4595

Crystal system   orthorhombic
Calculated density   5.555 g/cm3
Density of states at the Fermi level   2.29 states/eV/cell

=====

Run ii
## LiTlBr (GGA-PBE)

Data for crystalline LiTlBr at its relaxed geometry.

Cell lengths 7.0204, 7.0204, 7.0204 Å; angles 90.00, 90.00, 90.00 degrees
Space group F-43m (No. 216)
Inequivalent atoms, fractional coordinates:
Li 0.0000 0.0000 0.0000
Tl 0.2500 0.2500 0.2500
Br 0.2500 0.2500 0.7500

Crystal system   cubic
Calculated density   5.590 g/cm3
Density of states at the Fermi level   4.93 states/eV/cell

=====

Run iii
## LiTlBr (GGA-PBE)

Data for crystalline LiTlBr at its relaxed geometry.

Cell lengths 7.4779, 7.4779, 7.4779 Å; angles 90.00, 90.00, 90.00 degrees
Space group F-43m (No. 216)
Inequivalent atoms, fractional coordinates:
Li 0.0000 0.0000 0.0000
Tl 0.2500 0.2500 0.7500
Br 0.0000 0.0000 0.5000

Crystal system   cubic
Calculated density   4.626 g/cm3
Density of states at the Fermi level   10.35 states/eV/cell

=====

Energy above the most stable structure, in meV per atom: run i 0; run ii 328; run iii 546

=====

Run i
## LiTl2Br4 (GGA-PBE)

Data for crystalline LiTl2Br4 at its relaxed geometry.

Cell lengths 4.8254, 4.8254, 21.9892 Å; angles 90.00, 90.00, 90.00 degrees
Space group I4/mmm (No. 139)
Inequivalent atoms, fractional coordinates:
Li 0.0000 0.0000 0.0000
Tl 0.0000 0.0000 0.1741
Br 0.0000 0.0000 0.3150
Br 0.0000 0.5000 0.0000

Crystal system   tetragonal
Calculated density   4.770 g/cm3
Density of states at the Fermi level   13.47 states/eV/cell

=====

Run ii
## LiTl2Br4 (GGA-PBE)

Data for crystalline LiTl2Br4 at its relaxed geometry.

Cell lengths 7.5504, 7.5504, 4.5578 Å; angles 90.00, 90.00, 90.00 degrees
Space group P-42m (No. 111)
Inequivalent atoms, fractional coordinates:
Li 0.0000 0.0000 0.0000
Tl 0.0000 0.5000 0.5000
Br 0.2286 0.2286 0.1925

Crystal system   tetragonal
Calculated density   4.699 g/cm3
Density of states at the Fermi level   3.41 states/eV/cell

=====

Energy above the most stable structure, in meV per atom: run i 94; run ii 0

=====

Run i
## LiTlBr4 (GGA-PBE)

Data for crystalline LiTlBr4 at its relaxed geometry.

Cell lengths 6.2451, 6.2451, 11.3423 Å; angles 90.00, 90.00, 90.00 degrees
Space group I-4 (No. 82)
Inequivalent atoms, fractional coordinates:
Li 0.0000 0.0000 0.0000
Tl 0.0000 0.5000 0.2500
Br 0.2419 0.2523 0.1175

Crystal system   tetragonal
Calculated density   3.986 g/cm3
Density of states at the Fermi level   0.00 states/eV/cell

=====

Run ii
## LiTlBr4 (GGA-PBE)

Data for crystalline LiTlBr4 at its relaxed geometry.

Cell lengths 9.3251, 9.3251, 9.3251 Å; angles 90.00, 90.00, 90.00 degrees
Space group F-43m (No. 216)
Inequivalent atoms, fractional coordinates:
Li 0.0000 0.0000 0.0000
Tl 0.2500 0.2500 0.7500
Br 0.1250 0.1250 0.3750

Crystal system   cubic
Calculated density   4.349 g/cm3
Density of states at the Fermi level   10.58 states/eV/cell

=====

Energy above the most stable structure, in meV per atom: run i 0; run ii 661

=====

Run i
## Li2VBr6 (GGA-PBE)

Data for crystalline Li2VBr6 at its relaxed geometry.

Cell lengths 6.3414, 6.3414, 11.6614 Å; angles 90.00, 90.00, 90.00 degrees
Space group P4_2/mnm (No. 136)
Inequivalent atoms, fractional coordinates:
Li 0.0000 0.0000 0.1709
V 0.0000 0.0000 0.5000
Br 0.1925 0.1925 0.3447
Br 0.2216 0.2216 0.0000

Crystal system   tetragonal
Calculated density   3.854 g/cm3
Density of states at the Fermi level   10.19 states/eV/cell

=====

Run ii
## Li2VBr6 (GGA-PBE)

Data for crystalline Li2VBr6 at its relaxed geometry.

Cell lengths 6.6004, 6.6004, 6.6710 Å; angles 90.00, 90.00, 120.00 degrees
Space group P-31m (No. 162)
Inequivalent atoms, fractional coordinates:
Li 0.3333 0.6667 0.0000
V 0.0000 0.0000 0.0000
Br 0.0000 0.3082 0.2185

Crystal system   trigonal
Calculated density   3.591 g/cm3
Density of states at the Fermi level   6.63 states/eV/cell

=====

Energy above the most stable structure, in meV per atom: run i 52; run ii 0

=====

Run i
## Li2VBr (GGA-PBE)

Data for crystalline Li2VBr at its relaxed geometry.

Cell lengths 7.6594, 7.6594, 5.5972 Å; angles 90.00, 90.00, 90.00 degrees
Space group I-42d (No. 122)
Inequivalent atoms, fractional coordinates:
Li 0.1996 0.2500 0.1250
V 0.0000 0.0000 0.5000
Br 0.0000 0.0000 0.0000

Crystal system   tetragonal
Calculated density   2.927 g/cm3
Density of states at the Fermi level   18.46 states/eV/cell

=====

Run ii
## Li2VBr (GGA-PBE)

Data for crystalline Li2VBr at its relaxed geometry.

Cell lengths 6.9160, 6.9160, 6.9160 Å; angles 90.00, 90.00, 90.00 degrees
Space group Fm-3m (No. 225)
Inequivalent atoms, fractional coordinates:
Li 0.2500 0.2500 0.2500
V 0.0000 0.0000 0.0000
Br 0.0000 0.0000 0.5000

Crystal system   cubic
Calculated density   2.906 g/cm3
Density of states at the Fermi level   15.74 states/eV/cell

=====

Energy above the most stable structure, in meV per atom: run i 0; run ii 196

=====

Run i
## LiVBr4 (GGA-PBE)

Data for crystalline LiVBr4 at its relaxed geometry.

Cell lengths 7.5174, 16.6855, 6.5820 Å; angles 90.00, 122.96, 90.00 degrees
Space group C2/c (No. 15)
Inequivalent atoms, fractional coordinates:
Li 0.0000 0.0740 0.2500
V 0.0000 0.4336 0.7500
Br 0.2278 0.4515 0.2190
Br 0.2387 0.3323 0.7578

Crystal system   monoclinic
Calculated density   3.620 g/cm3
Density of states at the Fermi level   32.05 states/eV/cell

=====

Run ii
## LiVBr4 (GGA-PBE)

Data for crystalline LiVBr4 at its relaxed geometry.

Cell lengths 6.6310, 3.7817, 6.7471 Å; angles 90.00, 90.86, 90.00 degrees
Space group P2/m (No. 10)
Inequivalent atoms, fractional coordinates:
Li 0.0000 0.0000 0.0000
V 0.5000 0.5000 0.0000
Br 0.1866 0.5000 0.7869
Br 0.3529 0.0000 0.2178

Crystal system   monoclinic
Calculated density   3.705 g/cm3
Density of states at the Fermi level   6.29 states/eV/cell

=====

Energy above the most stable structure, in meV per atom: run i 45; run ii 0

=====

Run i
## LiVBr2 (GGA-PBE)

Data for crystalline LiVBr2 at its relaxed geometry.

Cell lengths 6.0486, 6.0486, 11.5642 Å; angles 90.00, 90.00, 90.00 degrees
Space group I-42d (No. 122)
Inequivalent atoms, fractional coordinates:
Li 0.0000 0.0000 0.0000
V 0.0000 0.0000 0.5000
Br 0.2361 0.2500 0.1250

Crystal system   tetragonal
Calculated density   3.418 g/cm3
Density of states at the Fermi level   11.80 states/eV/cell

=====

Run ii
## LiVBr2 (GGA-PBE)

Data for crystalline LiVBr2 at its relaxed geometry.

Cell lengths 6.9239, 6.9239, 6.9239 Å; angles 90.00, 90.00, 90.00 degrees
Space group Fm-3m (No. 225)
Inequivalent atoms, fractional coordinates:
Li 0.0000 0.0000 0.0000
V 0.0000 0.0000 0.5000
Br 0.2500 0.2500 0.2500

Crystal system   cubic
Calculated density   4.356 g/cm3
Density of states at the Fermi level   15.62 states/eV/cell

=====

Run iii
## LiVBr2 (GGA-PBE)

Data for crystalline LiVBr2 at its relaxed geometry.

Cell lengths 3.7452, 3.7452, 24.2320 Å; angles 90.00, 90.00, 120.00 degrees
Space group R-3m (No. 166, hexagonal axes)
Inequivalent atoms, fractional coordinates:
Li 0.0000 0.0000 0.0000
V 0.0000 0.0000 0.5000
Br 0.0000 0.0000 0.3972

Crystal system   trigonal
Calculated density   3.684 g/cm3
Density of states at the Fermi level   13.62 states/eV/cell

=====

Energy above the most stable structure, in meV per atom: run i 0; run ii 214; run iii 41

=====

Run i
## LiW2Br (GGA-PBE)

Data for crystalline LiW2Br at its relaxed geometry.

Cell lengths 3.5628, 3.5628, 7.7159 Å; angles 90.00, 90.00, 90.00 degrees
Space group P4/mmm (No. 123)
Inequivalent atoms, fractional coordinates:
Li 0.0000 0.0000 0.0000
W 0.0000 0.5000 0.5000
Br 0.5000 0.5000 0.0000

Crystal system   tetragonal
Calculated density   7.706 g/cm3
Density of states at the Fermi level   2.90 states/eV/cell

=====

Run ii
## LiW2Br (GGA-PBE)

Data for crystalline LiW2Br at its relaxed geometry.

Cell lengths 3.1708, 5.0215, 8.9111 Å; angles 90.00, 90.00, 90.00 degrees
Space group Imm2 (No. 44)
Inequivalent atoms, fractional coordinates:
Li 0.0000 0.0000 0.0000
W 0.0000 0.0000 0.5039
W 0.0000 0.5000 0.7894
Br 0.0000 0.5000 0.2584

Crystal system   orthorhombic
Calculated density   10.639 g/cm3
Density of states at the Fermi level   3.63 states/eV/cell

=====

Energy above the most stable structure, in meV per atom: run i 0; run ii 61

=====

Run i
## LiWBr2 (GGA-PBE)

Data for crystalline LiWBr2 at its relaxed geometry.

Cell lengths 3.3771, 5.1364, 9.8234 Å; angles 90.00, 90.00, 90.00 degrees
Space group Cmm2 (No. 35)
Inequivalent atoms, fractional coordinates:
Li 0.0000 0.0000 0.0000
W 0.0000 0.5000 0.2553
Br 0.0000 0.0000 0.4557
Br 0.0000 0.5000 0.8249

Crystal system   orthorhombic
Calculated density   6.833 g/cm3
Density of states at the Fermi level   5.04 states/eV/cell

=====

Run ii
## LiWBr2 (GGA-PBE)

Data for crystalline LiWBr2 at its relaxed geometry.

Cell lengths 3.2463, 3.2463, 23.8729 Å; angles 90.00, 90.00, 120.00 degrees
Space group R-3m (No. 166, hexagonal axes)
Inequivalent atoms, fractional coordinates:
Li 0.0000 0.0000 0.0000
W 0.0000 0.0000 0.5000
Br 0.0000 0.0000 0.2522

Crystal system   trigonal
Calculated density   8.016 g/cm3
Density of states at the Fermi level   10.69 states/eV/cell

=====

Energy above the most stable structure, in meV per atom: run i 0; run ii 24

=====

Run i
## LiWBr2 (GGA-PBE)

Data for crystalline LiWBr2 at its relaxed geometry.

Cell lengths 3.1609, 4.1767, 6.3621 Å; angles 90.00, 101.42, 90.00 degrees
Space group P2/m (No. 10)
Inequivalent atoms, fractional coordinates:
Li 0.0000 0.0000 0.0000
W 0.5000 0.0000 0.5000
Br 0.3984 0.5000 0.2538

Crystal system   monoclinic
Calculated density   7.071 g/cm3
Density of states at the Fermi level   2.65 states/eV/cell

=====

Run ii
## LiWBr2 (GGA-PBE)

Data for crystalline LiWBr2 at its relaxed geometry.

Cell lengths 3.1116, 4.2563, 12.4558 Å; angles 90.00, 90.00, 90.00 degrees
Space group Imm2 (No. 44)
Inequivalent atoms, fractional coordinates:
Li 0.0000 0.0000 0.0000
W 0.0000 0.5000 0.7152
Br 0.0000 0.0000 0.3944
Br 0.0000 0.5000 0.1639

Crystal system   orthorhombic
Calculated density   7.058 g/cm3
Density of states at the Fermi level   5.48 states/eV/cell

=====

Energy above the most stable structure, in meV per atom: run i 0; run ii 107